No. 1
The following is a DFT calculation (GGA-PBE) of an optimized crystal structure of ScTlSe2O8.

**Uncorrected formation energy**: -1331.3 meV per atom
**Density of states at the Fermi level**: 0.000 states/eV/atom
**DFT total energy**: -71.3 eV/cell

Cell lengths 5.279, 5.279, 8.483 Å; angles 86.97, 86.97, 64.42 degrees
Sites, in units of the cell vectors:
O: 0.767 0.286 0.179
Se: 0.635 0.635 0.204
O: 0.772 0.772 0.061
Sc: 0.000 0.000 0.000
O: 0.228 0.228 0.939
O: 0.714 0.233 0.821
Se: 0.365 0.365 0.796
Tl: 0.000 0.000 0.500
O: 0.286 0.767 0.179
O: 0.692 0.692 0.385
O: 0.233 0.714 0.821
O: 0.308 0.308 0.615


No. 2
The following is a DFT calculation (GGA-PBE) of an optimized crystal structure of ScTl2Se2O6.

**Uncorrected formation energy**: -1269.7 meV per atom
**Density of states at the Fermi level**: 0.117 states/eV/atom
**DFT total energy**: -61.7 eV/cell

Cell lengths 5.764, 5.459, 7.415 Å; angles 102.16, 90.00, 121.87 degrees
Sites, in units of the cell vectors:
Se: 0.888 0.777 0.742
O: 0.234 0.003 0.298
O: 0.735 0.470 0.558
Sc: 0.500 0.000 0.500
Se: 0.112 0.223 0.258
Tl: 0.721 0.443 0.107
O: 0.766 0.997 0.702
O: 0.231 0.997 0.702
O: 0.769 0.003 0.298
O: 0.265 0.530 0.442
Tl: 0.279 0.557 0.893


No. 3
The following is a DFT calculation (GGA-PBE) of an optimized crystal structure of ScTl2SeO6.

**Uncorrected formation energy**: -1170.4 meV per atom
**Density of states at the Fermi level**: 0.407 states/eV/atom
**DFT total energy**: -56.0 eV/cell

Cell lengths 5.423, 6.023, 6.023 Å; angles 120.00, 90.00, 90.00 degrees
Sites, in units of the cell vectors:
Tl: 0.104 0.333 0.667
O: 0.207 0.860 0.140
O: 0.793 0.140 0.279
O: 0.793 0.721 0.860
O: 0.207 0.279 0.140
O: 0.793 0.140 0.860
O: 0.207 0.860 0.721
Se: 0.000 0.000 0.000
Tl: 0.896 0.667 0.333
Sc: 0.500 0.000 0.000